No. 1
# InMo2Ru PBEsol optimized geometry
# * electronic total energy: -35.5 eV per cell
# * symmetry: Cmm2, No. 35
data_InMo2Ru
_cell_length_a 2.797
_cell_length_b 2.797
_cell_length_c 8.770
_cell_angle_alpha 90.00
_cell_angle_beta 90.00
_cell_angle_gamma 110.65
_space_group_name_H-M_alt 'P 1'
_space_group_IT_number 1
loop_
_space_group_symop_operation_xyz
'x,y,z'
loop_
_atom_site_label
_atom_site_type_symbol
_atom_site_fract_x
_atom_site_fract_y
_atom_site_fract_z
In1 In 0.000 0.000 0.000
Mo1 Mo 0.000 0.000 0.487
Mo2 Mo 0.500 0.500 0.727
Ru1 Ru 0.500 0.500 0.257

No. 2
# CdTcSbPb2 PBEsol optimized geometry
# * electronic total energy: -21.6 eV per cell
# * symmetry: P4/mmm, No. 123
data_CdTcSbPb2
_cell_length_a 5.201
_cell_length_b 5.201
_cell_length_c 5.254
_cell_angle_alpha 90.00
_cell_angle_beta 90.00
_cell_angle_gamma 90.00
_space_group_name_H-M_alt 'P 1'
_space_group_IT_number 1
loop_
_space_group_symop_operation_xyz
'x,y,z'
loop_
_atom_site_label
_atom_site_type_symbol
_atom_site_fract_x
_atom_site_fract_y
_atom_site_fract_z
Cd1 Cd 0.000 0.000 0.000
Tc1 Tc 0.000 0.000 0.500
Sb1 Sb 0.500 0.500 0.000
Pb1 Pb 0.000 0.500 0.500
Pb2 Pb 0.500 0.000 0.500

No. 3
# LiMn2W PBEsol optimized geometry
# * electronic total energy: -33.5 eV per cell
# * symmetry: Pmmm, No. 47
data_LiMn2W
_cell_length_a 2.968
_cell_length_b 3.915
_cell_length_c 4.237
_cell_angle_alpha 90.00
_cell_angle_beta 90.00
_cell_angle_gamma 90.00
_space_group_name_H-M_alt 'P 1'
_space_group_IT_number 1
loop_
_space_group_symop_operation_xyz
'x,y,z'
loop_
_atom_site_label
_atom_site_type_symbol
_atom_site_fract_x
_atom_site_fract_y
_atom_site_fract_z
Li1 Li 0.000 0.000 0.000
Mn1 Mn 0.000 0.500 0.500
Mn2 Mn 0.500 0.500 0.000
W1 W 0.500 0.000 0.500

Look up the electronic total energy of the second one.
-21.6 eV per cell

Look up the electronic total energy of the first one.
-35.5 eV per cell

The highest electronic total energy belongs to which entry?
CdTcSbPb2

electronic total energy of number 1 (InMo2Ru)?
-35.5 eV per cell